This record from Alexandria via LeMat-Bulk describes a geometry-optimized NaSrNpCl6 structure. The functional is PBE.

Computed properties:
For the total energy, the calculation gives -44.72 eV per formula unit. The calculation puts the calculated volume at 568 Å³/cell. The total magnetization is 4.000 μB per formula unit. As for the uncorrected formation energy: -1967 meV per atom.

Cell lengths 7.317, 7.317, 12.258 Å; angles 90.00, 90.00, 120.00 degrees
Fractional positions:
Na 0.000 0.000 0.000
Na 0.000 0.000 0.500
Sr 0.333 0.667 0.250
Sr 0.667 0.333 0.750
Np 0.667 0.333 0.250
Np 0.333 0.667 0.750
Cl 0.665 0.648 0.128
Cl 0.982 0.335 0.128
Cl 0.335 0.982 0.628
Cl 0.018 0.665 0.872
Cl 0.352 0.335 0.372
Cl 0.982 0.648 0.372
Cl 0.648 0.982 0.872
Cl 0.665 0.018 0.372
Cl 0.018 0.352 0.628
Cl 0.352 0.018 0.128
Cl 0.648 0.665 0.628
Cl 0.335 0.352 0.872

=====

This record from Alexandria via LeMat-Bulk describes a geometry-optimized MgRu2Pb structure. The functional is PBE.

Computed properties:
For the total energy, the calculation gives -22.62 eV per formula unit. The calculation puts the calculated volume at 69 Å³/cell. The calculation puts the energy relative to the elements at 1.232 eV per formula unit. The total magnetization is 0.000 μB per formula unit.

Cell lengths 5.577, 5.577, 5.577 Å; angles 146.96, 132.19, 59.34 degrees
Fractional positions:
Mg 0.511 0.511 0.000
Pb 0.235 0.735 0.500
Ru 0.989 0.989 0.000
Ru 0.765 0.265 0.500

=====

This record from Alexandria via LeMat-Bulk describes a geometry-optimized CsK5Rb8 structure. The functional is PBE.

Computed properties:
For the total energy, the calculation gives -13.47 eV per formula unit. The calculation puts the calculated volume at 1241 Å³/cell. The calculation puts the energy relative to the elements at 0.615 eV per formula unit. The total magnetization is 0.000 μB per formula unit.

Cell lengths 11.741, 11.741, 11.741 Å; angles 111.58, 105.33, 111.58 degrees
Fractional positions:
Cs 0.250 0.500 0.750
K 0.050 0.333 0.138
K 0.862 0.913 0.195
K 0.805 0.667 0.718
K 0.500 0.000 0.500
K 0.282 0.087 0.950
Rb 0.155 0.743 0.078
Rb 0.922 0.076 0.664
Rb 0.729 0.257 0.330
Rb 0.670 0.399 0.927
Rb 0.528 0.601 0.271
Rb 0.588 0.924 0.845
Rb 0.336 0.257 0.412
Rb 0.073 0.743 0.472

=====

This record from Alexandria via LeMat-Bulk describes a geometry-optimized NaIn2Hg9 structure. The functional is PBE.

Computed properties:
For the total energy, the calculation gives -10.28 eV per formula unit. The calculation puts the calculated volume at 317 Å³/cell. The calculation puts the energy relative to the elements at -0.764 eV per formula unit. The total magnetization is 0.000 μB per formula unit.

Cell lengths 4.917, 4.917, 13.120 Å; angles 90.00, 90.00, 90.00 degrees
Fractional positions:
Na 0.000 0.000 0.000
In 0.000 0.000 0.334
In 0.000 0.000 0.666
Hg 0.500 0.500 0.000
Hg 0.500 0.500 0.335
Hg 0.500 0.500 0.665
Hg 0.500 0.000 0.167
Hg 0.500 0.000 0.500
Hg 0.500 0.000 0.833
Hg 0.000 0.500 0.167
Hg 0.000 0.500 0.500
Hg 0.000 0.500 0.833

=====

This record from Alexandria via LeMat-Bulk describes a geometry-optimized YAs2IBr structure. The functional is PBE.

Computed properties:
For the total energy, the calculation gives -19.30 eV per formula unit. The calculation puts the calculated volume at 174 Å³/cell. The total magnetization is 1.166 μB per formula unit. As for the uncorrected formation energy: -63 meV per atom.

Cell lengths 5.671, 5.671, 5.407 Å; angles 90.00, 90.00, 90.00 degrees
Fractional positions:
I 0.500 0.500 0.500
Y 0.000 0.000 0.000
As 0.000 0.500 0.000
As 0.500 0.000 0.000
Br 0.000 0.000 0.500

=====

This record from Alexandria via LeMat-Bulk describes a geometry-optimized V2GaSe2 structure. The functional is PBE.

Computed properties:
For the total energy, the calculation gives -29.07 eV per formula unit. The calculation puts the calculated volume at 161 Å³/cell. The total magnetization is 1.348 μB per formula unit. As for the uncorrected formation energy: -167 meV per atom.

Cell lengths 7.064, 7.064, 3.234 Å; angles 90.00, 90.00, 90.00 degrees
Fractional positions:
Se 0.147 0.647 0.500
Se 0.647 0.853 0.500
Se 0.853 0.353 0.500
Se 0.353 0.147 0.500
Ga 0.000 0.000 0.000
Ga 0.500 0.500 0.000
V 0.354 0.854 0.000
V 0.854 0.646 0.000
V 0.646 0.146 0.000
V 0.146 0.354 0.000

=====

Which of these has the highest calculated volume? CsK5Rb8

=====

Which value of calculated volume does entry 1 give? 568 Å³/cell

=====

What is the calculated volume in the sixth record? 161 Å³/cell

=====

Which formula does entry 3 have? CsK5Rb8